(1)
Here is a relaxed structure of NdInTe2O8 from Alexandria. Energies are from PBE-GGA.

```
data_NdInTe2O8
_symmetry_space_group_name_H-M 'P 1'
_symmetry_Int_Tables_number 1
_symmetry_space_group_name_Hall 'P 1'
_cell_length_a 6.269
_cell_length_b 6.269
_cell_length_c 6.269
_cell_angle_alpha 108.27
_cell_angle_beta 108.27
_cell_angle_gamma 111.89
loop_
_atom_site_label
_atom_site_fract_x
_atom_site_fract_y
_atom_site_fract_z
Nd1 0.000 0.000 0.000
In1 0.750 0.250 0.500
Te1 0.250 0.750 0.500
Te2 0.500 0.500 0.000
O1 0.068 0.385 0.317
O2 0.068 0.750 0.683
O3 0.100 0.298 0.801
O4 0.250 0.932 0.317
O5 0.497 0.298 0.199
O6 0.615 0.932 0.683
O7 0.702 0.503 0.801
O8 0.702 0.900 0.199
```

VASP energy ... -5.887 eV per atom
Raw formation energy ... -138 kJ/mol of atoms

(2)
Here is a relaxed structure of PrSc3Tl4 from Alexandria. Energies are from PBE-GGA.

```
data_PrSc3Tl4
_symmetry_space_group_name_H-M 'P 1'
_symmetry_Int_Tables_number 1
_symmetry_space_group_name_Hall 'P 1'
_cell_length_a 10.437
_cell_length_b 7.433
_cell_length_c 5.217
_cell_angle_alpha 90.00
_cell_angle_beta 90.00
_cell_angle_gamma 90.00
loop_
_atom_site_label
_atom_site_fract_x
_atom_site_fract_y
_atom_site_fract_z
Pr1 0.000 0.000 0.000
Pr2 0.500 0.000 0.000
Sc1 0.000 0.500 0.000
Sc2 0.250 0.000 0.497
Sc3 0.250 0.500 0.496
Sc4 0.500 0.500 0.000
Sc5 0.750 0.000 0.503
Sc6 0.750 0.500 0.504
Tl1 0.000 0.266 0.500
Tl2 0.000 0.734 0.500
Tl3 0.250 0.266 0.996
Tl4 0.250 0.734 0.996
Tl5 0.500 0.266 0.500
Tl6 0.500 0.734 0.500
Tl7 0.750 0.266 0.004
Tl8 0.750 0.734 0.004
```

VASP energy ... -4.425 eV per atom
Formation energy from the elements ... -270 meV/atom

(3)
Here is a relaxed structure of SmEuSi from Alexandria. Energies are from PBE-GGA.

```
data_SmEuSi
_symmetry_space_group_name_H-M 'P 1'
_symmetry_Int_Tables_number 1
_symmetry_space_group_name_Hall 'P 1'
_cell_length_a 7.143
_cell_length_b 7.143
_cell_length_c 7.143
_cell_angle_alpha 90.00
_cell_angle_beta 90.00
_cell_angle_gamma 90.00
loop_
_atom_site_label
_atom_site_fract_x
_atom_site_fract_y
_atom_site_fract_z
Sm1 0.000 0.000 0.000
Sm2 0.000 0.500 0.500
Sm3 0.500 0.000 0.500
Sm4 0.500 0.500 0.000
Eu1 0.000 0.000 0.500
Eu2 0.000 0.500 0.000
Eu3 0.500 0.000 0.000
Eu4 0.500 0.500 0.500
Si1 0.250 0.250 0.750
Si2 0.250 0.750 0.250
Si3 0.750 0.250 0.250
Si4 0.750 0.750 0.750
```

VASP energy ... -7.181 eV per atom
Raw formation energy ... -36 kJ/mol of atoms

(4)
Here is a relaxed structure of DyReMo from Alexandria. Energies are from PBE-GGA.

```
data_DyReMo
_symmetry_space_group_name_H-M 'P 1'
_symmetry_Int_Tables_number 1
_symmetry_space_group_name_Hall 'P 1'
_cell_length_a 5.443
_cell_length_b 5.505
_cell_length_c 7.714
_cell_angle_alpha 90.00
_cell_angle_beta 90.00
_cell_angle_gamma 90.00
loop_
_atom_site_label
_atom_site_fract_x
_atom_site_fract_y
_atom_site_fract_z
Dy1 0.000 0.250 0.123
Dy2 0.000 0.750 0.877
Dy3 0.500 0.250 0.377
Dy4 0.500 0.750 0.623
Re1 0.250 0.250 0.750
Re2 0.250 0.750 0.250
Re3 0.750 0.250 0.750
Re4 0.750 0.750 0.250
Mo1 0.000 0.000 0.500
Mo2 0.000 0.500 0.500
Mo3 0.500 0.000 0.000
Mo4 0.500 0.500 0.000
```

Distance to the lowest polymorph of the same formula ... 0.0 meV per atom
VASP energy ... -9.381 eV per atom
Formation energy from the elements ... -87 meV/atom